No. 1
This record from Alexandria describes crystalline KLa2Si at its relaxed geometry. The functional is GGA-PBE.

- Fermi-level density of states (states/eV/f.u.) = 5.29
- uncorrected formation energy (eV/atom) = 0.120
- electronic total energy (eV/atom) = -3.973
- M_tot (μB/atom) = 0.001
- mass density (g/cm3) = 4.9
- crystal system = tetragonal

abc: 5.715 5.715 5.715
angles: 126.39 126.39 79.25
Fractional positions:
K  0.000  0.000  0.000
La  0.250  0.750  0.500
La  0.750  0.250  0.500
Si  0.500  0.500  0.000

=====

No. 2
This record from Alexandria describes crystalline CdCoTe2 at its relaxed geometry. The functional is GGA-PBE.

- Fermi-level density of states (states/eV/f.u.) = 5.40
- uncorrected formation energy (eV/atom) = -0.059
- electronic total energy (eV/atom) = -3.635
- M_tot (μB/atom) = 0.000
- mass density (g/cm3) = 6.6
- crystal system = trigonal

abc: 8.877 8.877 8.877
angles: 24.60 24.60 24.60
Fractional positions:
Cd  0.000  0.000  0.000
Co  0.500  0.500  0.500
Te  0.116  0.116  0.116
Te  0.884  0.884  0.884

=====

No. 3
This record from Alexandria describes crystalline HoTm6Fe2 at its relaxed geometry. The functional is GGA-PBE.

- ΔH_f (0 K) (eV per atom) = 0.0203
- Fermi-level density of states (states/eV/f.u.) = 9.66
- electronic total energy (eV/atom) = -5.350
- M_tot (μB/atom) = 0.055
- mass density (g/cm3) = 9.4
- crystal system = orthorhombic

abc: 8.397 8.397 8.397
angles: 111.49 109.33 107.62
Fractional positions:
Ho  0.000  0.000  0.000
Ho  0.500  0.500  0.000
Tm  0.026  0.242  0.784
Tm  0.187  0.283  0.470
Tm  0.187  0.717  0.904
Tm  0.322  0.005  0.683
Tm  0.322  0.639  0.317
Tm  0.459  0.242  0.216
Tm  0.541  0.758  0.784
Tm  0.678  0.361  0.683
Tm  0.678  0.995  0.317
Tm  0.813  0.283  0.096
Tm  0.813  0.717  0.530
Tm  0.974  0.758  0.216
Fe  0.109  0.609  0.500
Fe  0.308  0.000  0.308
Fe  0.692  0.000  0.692
Fe  0.891  0.391  0.500

=====

No. 4
This record from Alexandria describes crystalline TiWAu3 at its relaxed geometry. The functional is GGA-PBE.

- ΔH_f (0 K) (eV per atom) = 1.3234
- Fermi-level density of states (states/eV/f.u.) = 9.11
- electronic total energy (eV/atom) = -4.813
- M_tot (μB/atom) = 0.000
- mass density (g/cm3) = 11.0
- crystal system = cubic

abc: 4.987 4.987 4.987
angles: 90.00 90.00 90.00
Fractional positions:
Ti  0.000  0.000  0.000
W  0.500  0.500  0.500
Au  0.000  0.500  0.500
Au  0.500  0.000  0.500
Au  0.500  0.500  0.000

=====

No. 5
This record from Alexandria describes crystalline In2Ir3 at its relaxed geometry. The functional is GGA-PBE.

- ΔH_f (0 K) (eV per atom) = 0.1251
- Fermi-level density of states (states/eV/f.u.) = 2.74
- electronic total energy (eV/atom) = -6.287
- M_tot (μB/atom) = 0.000
- mass density (g/cm3) = 15.7
- crystal system = orthorhombic

abc: 7.278 5.473 8.327
angles: 59.45 40.37 80.18
Fractional positions:
In  0.256  0.744  0.347
In  0.597  0.903  0.506
In  0.744  0.256  0.653
In  0.903  0.597  0.994
Ir  0.136  0.817  0.069
Ir  0.181  0.271  0.114
Ir  0.271  0.181  0.433
Ir  0.405  0.405  0.595
Ir  0.655  0.655  0.845
Ir  0.817  0.136  0.979